Entry from the Alexandria database: an optimized crystal structure of La2Sm2Ho7 (PBE).

Values from the calculation:
**N(E_F)**: 1.583 states/eV per atom
**ρ**: 7814 kg/m3
**Relative energy among the computed polymorphs**: 8 meV/atom
**E_form**: 1.735 eV/f.u.

Cell and atoms, written as POSCAR:
```
La2Sm2Ho7
1.0
5.760 1.115 1.609
0.489 8.009 1.330
0.489 -1.567 7.966
La Sm Ho
2 2 7
Direct
0.500 0.211 0.789 La
0.500 0.789 0.211 La
0.813 0.403 0.403 Sm
0.187 0.597 0.597 Sm
0.171 0.063 0.591 Ho
0.829 0.409 0.937 Ho
0.829 0.937 0.409 Ho
0.171 0.591 0.063 Ho
0.000 0.000 0.000 Ho
0.580 0.762 0.762 Ho
0.420 0.238 0.238 Ho
```



Entry from the Alexandria database: an optimized crystal structure of LiSc2Te (PBE).

Values from the calculation:
**N(E_F)**: 1.092 states/eV per atom
**ρ**: 4279 kg/m3
**Energy relative to the elements, uncorrected**: -0.431 eV/atom

Cell and atoms, written as POSCAR:
```
LiSc2Te
1.0
-3.239 -2.712 -4.063
-1.084 -5.327 -2.192
-3.677 -1.804 1.712
Li Sc Te
1 2 1
Direct
0.769 0.769 0.731 Li
0.006 0.006 0.994 Sc
0.244 0.244 0.256 Sc
0.482 0.482 0.518 Te
```



Entry from the Alexandria database: an optimized crystal structure of KPmSn2F8 (PBE).

Values from the calculation:
**N(E_F)**: 0.000 states/eV per atom
**ρ**: 4612 kg/m3
**Energy relative to the elements, uncorrected**: -2.969 eV/atom

Cell and atoms, written as POSCAR:
```
KPmSn2F8
1.0
4.134 -0.008 0.117
0.010 6.007 -0.019
0.239 -0.007 8.322
K Pm Sn F
1 1 2 8
Direct
0.000 0.000 0.500 K
0.000 0.000 0.000 Pm
0.465 0.501 0.735 Sn
0.535 0.499 0.265 Sn
0.965 0.757 0.223 F
0.500 0.790 0.997 F
0.966 0.246 0.224 F
0.035 0.243 0.777 F
0.500 0.210 0.003 F
0.034 0.754 0.776 F
0.501 0.717 0.502 F
0.499 0.283 0.498 F
```



Repeat the third record exactly.
Entry from the Alexandria database: an optimized crystal structure of KPmSn2F8 (PBE).

Values from the calculation:
**N(E_F)**: 0.000 states/eV per atom
**ρ**: 4612 kg/m3
**Energy relative to the elements, uncorrected**: -2.969 eV/atom

Cell and atoms, written as POSCAR:
```
KPmSn2F8
1.0
4.134 -0.008 0.117
0.010 6.007 -0.019
0.239 -0.007 8.322
K Pm Sn F
1 1 2 8
Direct
0.000 0.000 0.500 K
0.000 0.000 0.000 Pm
0.465 0.501 0.735 Sn
0.535 0.499 0.265 Sn
0.965 0.757 0.223 F
0.500 0.790 0.997 F
0.966 0.246 0.224 F
0.035 0.243 0.777 F
0.500 0.210 0.003 F
0.034 0.754 0.776 F
0.501 0.717 0.502 F
0.499 0.283 0.498 F
```